# CdBiS2

A PBEsol-optimized structure of CdBiS2 (SCAN, the Alexandria database).

The space group is I-42d (No. 122) and the conventional cell measures 5.605, 5.605 and 14.282 Å, with angles of 90.00, 90.00 and 90.00 degrees. The inequivalent atoms are Cd at (0.000, 0.000, 0.000), Bi at (0.000, 0.000, 0.500) and S at (0.224, 0.250, 0.125).


# CdBi2S

A PBEsol-optimized structure of CdBi2S (SCAN, the Alexandria database).

The space group is I-42d (No. 122) and the conventional cell measures 4.717, 4.717 and 20.073 Å, with angles of 90.00, 90.00 and 90.00 degrees. The inequivalent atoms are Cd at (0.000, 0.000, 0.000), Bi at (0.212, 0.250, 0.625) and S at (0.000, 0.000, 0.500).


Number 1: raw formation energy -16.6 kJ/mol of atoms, raw total energy -32.23 eV per atom, DOS(E_F) 6.666 states/eV/cell. Number 2: raw formation energy 15.9 kJ/mol of atoms, raw total energy -49.14 eV per atom, DOS(E_F) 5.823 states/eV/cell.